## Pa4Tc7As6 (PBE-GGA)

Data for a relaxed structure of Pa4Tc7As6.

POSCAR file:
```
Pa4Tc7As6
1.0
-4.207 4.207 4.207
4.207 -4.207 4.207
4.207 4.207 -4.207
Pa Tc As
4 7 6
Direct
0.000 0.000 0.500
0.000 0.500 0.000
0.500 0.000 0.000
0.500 0.500 0.500
0.000 0.000 0.000
0.250 0.500 0.750
0.250 0.750 0.500
0.500 0.250 0.750
0.500 0.750 0.250
0.750 0.250 0.500
0.750 0.500 0.250
0.000 0.311 0.311
0.000 0.689 0.689
0.311 0.000 0.311
0.311 0.311 0.000
0.689 0.000 0.689
0.689 0.689 0.000
```

Results
**Symmetry**: Im-3m
**Energy of formation from the pure elements**: -749 meV/atom
**D(E_F)**: 11.53 states/eV/f.u.
**Final energy**: -8.89 eV/atom

=====

## ScAs2Br (PBE-GGA)

Data for a relaxed structure of ScAs2Br.

POSCAR file:
```
ScAs2Br
1.0
3.652 0.000 0.000
0.000 5.097 0.000
0.000 0.000 13.378
Sc As Br
2 4 2
Direct
0.000 0.000 0.000
0.500 0.500 0.500
0.000 0.000 0.583
0.000 0.500 0.954
0.500 0.000 0.454
0.500 0.500 0.083
0.000 0.500 0.353
0.500 0.000 0.853
```

Results
**Symmetry**: Imm2
**D(E_F)**: 0.13 states/eV/f.u.
**Final energy**: -5.01 eV/atom

=====

## CrSb2Au (PBE-GGA)

Data for a relaxed structure of CrSb2Au.

POSCAR file:
```
CrSb2Au
1.0
4.166 0.000 0.000
0.000 4.166 0.000
0.000 0.000 9.962
Cr Sb Au
2 4 2
Direct
0.000 0.000 0.000
0.500 0.500 0.500
0.000 0.000 0.500
0.000 0.500 0.750
0.500 0.000 0.250
0.500 0.500 0.000
0.000 0.500 0.250
0.500 0.000 0.750
```

Results
**Symmetry**: I-4m2
**D(E_F)**: 2.06 states/eV/f.u.
**Final energy**: -5.03 eV/atom

=====

## Mn2IrRu2 (PBE-GGA)

Data for a relaxed structure of Mn2IrRu2.

POSCAR file:
```
Mn2IrRu2
1.0
3.749 0.000 0.000
0.000 3.749 0.000
0.000 0.000 9.923
Mn Ir Ru
4 2 4
Direct
0.000 0.000 0.100
0.000 0.000 0.900
0.500 0.500 0.400
0.500 0.500 0.600
0.000 0.000 0.500
0.500 0.500 0.000
0.000 0.500 0.250
0.000 0.500 0.750
0.500 0.000 0.250
0.500 0.000 0.750
```

Results
**Symmetry**: I4/mmm
**Energy of formation from the pure elements**: 474 meV/atom
**D(E_F)**: 6.80 states/eV/f.u.
**Final energy**: -8.68 eV/atom

=====

## La2TlZn2Rh5 (PBE-GGA)

Data for a relaxed structure of La2TlZn2Rh5.

POSCAR file:
```
La2TlZn2Rh5
1.0
9.885 0.000 0.000
0.000 9.885 0.000
0.000 0.000 3.775
La Tl Zn Rh
4 2 4 10
Direct
0.177 0.323 0.000
0.323 0.823 0.000
0.677 0.177 0.000
0.823 0.677 0.000
0.000 0.000 0.000
0.500 0.500 0.000
0.120 0.620 0.000
0.380 0.120 0.000
0.620 0.880 0.000
0.880 0.380 0.000
0.000 0.500 0.500
0.068 0.788 0.500
0.212 0.068 0.500
0.288 0.568 0.500
0.432 0.288 0.500
0.500 0.000 0.500
0.568 0.712 0.500
0.712 0.432 0.500
0.788 0.932 0.500
0.932 0.212 0.500
```

Results
**Symmetry**: P4/mbm
**Energy of formation from the pure elements**: -497 meV/atom
**D(E_F)**: 6.00 states/eV/f.u.
**Final energy**: -5.65 eV/atom

=====

## Dy6In2Hg (PBE-GGA)

Data for a relaxed structure of Dy6In2Hg.

POSCAR file:
```
Dy6In2Hg
1.0
-2.571 3.648 7.723
2.571 -3.648 7.723
2.571 3.648 -7.723
Dy In Hg
6 2 1
Direct
0.081 0.335 0.746
0.243 0.000 0.243
0.411 0.665 0.746
0.589 0.335 0.254
0.757 0.000 0.757
0.919 0.665 0.254
0.334 0.834 0.500
0.666 0.166 0.500
0.000 0.500 0.500
```

Results
**Symmetry**: Immm
**Energy of formation from the pure elements**: -96 meV/atom
**D(E_F)**: 12.42 states/eV/f.u.
**Final energy**: -3.81 eV/atom

=====

## Ca2TiSb2 (PBE-GGA)

Data for a relaxed structure of Ca2TiSb2.

POSCAR file:
```
Ca2TiSb2
1.0
7.594 0.000 0.000
0.000 7.594 0.000
0.000 0.000 4.639
Ca Ti Sb
4 2 4
Direct
0.160 0.340 0.000
0.340 0.840 0.000
0.660 0.160 0.000
0.840 0.660 0.000
0.000 0.000 0.500
0.500 0.500 0.500
0.154 0.654 0.500
0.346 0.154 0.500
0.654 0.846 0.500
0.846 0.346 0.500
```

Results
**Symmetry**: P4/mbm
**D(E_F)**: 2.12 states/eV/f.u.
**Final energy**: -4.64 eV/atom

=====

## NdDy2HoTm4 (PBE-GGA)

Data for a relaxed structure of NdDy2HoTm4.

POSCAR file:
```
NdDy2HoTm4
1.0
-3.374 5.838 6.609
3.374 -5.838 6.609
3.374 5.838 -6.609
Nd Dy Ho Tm
2 4 2 8
Direct
0.000 0.000 0.000
0.500 0.000 0.500
0.000 0.500 0.500
0.500 0.000 0.000
0.500 0.500 0.000
0.500 0.500 0.500
0.000 0.000 0.500
0.000 0.500 0.000
0.248 0.749 0.499
0.249 0.250 0.501
0.249 0.749 0.999
0.250 0.251 0.999
0.750 0.749 0.001
0.751 0.251 0.001
0.751 0.750 0.499
0.752 0.251 0.501
```

Results
**Symmetry**: Imma
**Energy of formation from the pure elements**: 445 meV/atom
**D(E_F)**: 17.37 states/eV/f.u.
**Final energy**: -4.11 eV/atom

=====

no.,calculated volume (Å³/f.u.)
1,298
2,124
3,86
4,70
5,184
6,290
7,134
8,260